The following is a GGA+U calculation of an optimized crystal structure of Nd2PuMnO8, from Alexandria via LeMat-Bulk.

Output
Its total energy is -102.0 eV per cell. As for the crystal system: triclinic. As for the total moment: 5.0 μB per cell. The symmetry is No. 2.

Lattice parameters (Å, degrees): 4.7044 5.2406 7.2661 95.56 88.61 96.14
Positions (direct):
Nd 0.4061 0.5121 0.2617
Nd 0.5939 0.4879 0.7383
O 0.7155 0.7111 0.4856
O 0.2845 0.2889 0.5144
Pu 0.0000 0.0000 0.0000
O 0.8728 0.2772 0.1672
O 0.1272 0.7228 0.8328
Mn 0.0000 0.0000 0.5000
O 0.3504 0.2314 0.9744
O 0.6496 0.7686 0.0256
O 0.8490 0.1263 0.7410
O 0.1510 0.8737 0.2590